DFT (GGA+U) results for an optimized crystal structure of Cr2TeF.

Results
Total magnetic moment in μB/f.u.: 9.000
Energy in eV per atom: -5.70
ΔE to the lowest computed polymorph in eV per atom: 0.0000

Lattice parameters (Å, degrees): 5.376 5.376 12.816 90.00 90.00 90.00
Space group I-42d (No. 122)
One atom of each set of equivalent atoms:
1 Cr 0.164 0.250 0.125 x8
2 Te 0.000 0.000 0.500 x4
3 F 0.000 0.000 0.000 x4